DFT (GGA-PBE) results for crystalline Pm2PuHgO8 at its relaxed geometry.

Geometry as extended XYZ:
```
12
Lattice="4.533 -0.188 0.086 -0.164 5.233 0.085 0.164 0.147 7.773" Properties=species:S:1:pos:R:3 pbc="T T T"
Pm 2.100 2.502 5.855
O 2.965 4.000 7.751
O 4.196 1.335 6.434
Pu 0.000 0.000 0.000
O 0.337 3.857 1.511
Hg 0.082 0.073 3.887
O 0.762 4.399 6.367
O 3.043 3.652 4.091
O 1.568 1.192 0.194
O 1.490 1.540 3.854
Pm 2.433 2.690 2.090
O 3.771 0.793 1.578
```

## Properties
Energy relative to the elements, uncorrected ... -2295 meV per atom
Calculated density ... 7.78 g/cm3
Space-group type ... No. 2
Final energy ... -7.6114 eV/atom


DFT (GGA-PBE) results for crystalline DyHoPbSe at its relaxed geometry.

Geometry as extended XYZ:
```
4
Lattice="-2.364 0.517 -3.530 -2.051 -3.663 0.837 -4.117 3.037 3.202" Properties=species:S:1:pos:R:3 pbc="T T T"
Se -4.425 0.624 0.460
Ho -4.267 -1.467 2.643
Pb -2.208 -2.985 1.042
Dy -2.366 -0.894 -1.141
```

## Properties
Energy relative to the elements, uncorrected ... -1101 meV per atom
Calculated density ... 9.21 g/cm3
Space-group type ... No. 123
Final energy ... -5.1941 eV/atom


DFT (GGA-PBE) results for crystalline Tm8CdPb5 at its relaxed geometry.

Geometry as extended XYZ:
```
14
Lattice="-4.246 -5.903 -3.396 0.591 -1.314 7.895 -3.697 7.006 -1.289" Properties=species:S:1:pos:R:3 pbc="T T T"
Tm -2.538 -1.995 2.848
Tm -6.802 -0.803 -3.404
Tm -5.665 1.902 -0.139
Tm -0.181 -1.615 5.469
Tm -4.490 -2.246 -1.138
Pb -4.108 -4.556 3.621
Pb -0.258 0.387 2.800
Pb -5.134 -0.871 1.566
Pb -3.972 0.551 -2.343
Cd -3.539 3.122 2.132
Tm -2.013 1.917 4.849
Tm -2.390 0.740 0.562
Pb -5.205 4.617 -1.567
Tm -5.332 1.255 3.793
```

## Properties
Calculated density ... 10.43 g/cm3
DFT formation energy ... -0.400 eV/atom
Space-group type ... No. 82
Final energy ... -4.3447 eV/atom


DFT (GGA-PBE) results for crystalline PrSm2Dy6 at its relaxed geometry.

Geometry as extended XYZ:
```
9
Lattice="-5.397 -1.289 -2.489 3.378 -1.572 -6.508 2.326 -6.985 -1.425" Properties=species:S:1:pos:R:3 pbc="T T T"
Dy 2.020 -4.280 -6.562
Dy -1.252 -3.196 -6.085
Dy 3.042 -7.337 -7.184
Sm -0.444 -6.717 -7.245
Sm 0.751 -3.129 -3.177
Pr 0.000 0.000 0.000
Dy 1.560 -6.650 -4.337
Dy -1.713 -5.566 -3.859
Dy -2.734 -2.509 -3.237
```

## Properties
Calculated density ... 7.94 g/cm3
DFT formation energy ... 0.224 eV/atom
Space-group type ... No. 164
Final energy ... -4.4240 eV/atom


DFT (GGA-PBE) results for crystalline ScFeCoSb at its relaxed geometry.

Geometry as extended XYZ:
```
4
Lattice="4.366 0.000 0.000 2.183 3.781 0.000 2.183 1.260 3.564" Properties=species:S:1:pos:R:3 pbc="T T T"
Co 6.548 3.781 2.673
Sb 4.366 2.520 1.782
Fe 2.183 1.260 0.891
Sc 0.000 0.000 0.000
```

## Properties
Energy relative to the elements, uncorrected ... -306 meV per atom
Calculated density ... 7.95 g/cm3
Space-group type ... No. 216
Final energy ... -6.8115 eV/atom


DFT (GGA-PBE) results for crystalline PmPaAs2 at its relaxed geometry.

Geometry as extended XYZ:
```
8
Lattice="4.148 0.000 0.000 -2.074 3.592 0.000 0.000 0.000 13.652" Properties=species:S:1:pos:R:3 pbc="T T T"
As 0.000 2.395 5.217
As 2.074 1.197 8.435
As 2.074 1.197 12.043
As 0.000 2.395 1.609
Pm 2.074 1.197 3.413
Pa 0.000 0.000 6.826
Pm 0.000 2.395 10.239
Pa 0.000 0.000 0.000
```

## Properties
Calculated density ... 8.59 g/cm3
DFT formation energy ... -1.264 eV/atom
Space-group type ... No. 194
Final energy ... -7.1508 eV/atom


- Look up the calculated density of the sixth one.
  8.59 g/cm3